CsNbP2O8 | GGA-PBE | optimized geometry

Output
Total magnetic moment ... 0.0 μB/f.u.
Density of states at the Fermi level ... 0.00 states/eV/cell
Formation energy without anion corrections ... -2.3740 eV per atom

Cell lengths 9.044, 4.995, 19.060 Å; angles 80.61, 90.00, 90.00 degrees
Element x y z (fractional)
1 O 0.721 0.219 0.250
2 O 0.725 0.583 0.354
3 O 0.638 0.724 0.961
4 O 0.506 0.362 0.750
5 O 0.362 0.276 0.039
6 O 0.225 0.417 0.146
7 O 0.341 0.977 0.604
8 O 0.841 0.023 0.896
9 O 0.909 0.969 0.337
10 O 0.006 0.638 0.750
11 O 0.091 0.031 0.663
12 O 0.419 0.069 0.294
13 O 0.279 0.781 0.750
14 O 0.432 0.411 0.397
15 O 0.775 0.583 0.854
16 O 0.779 0.219 0.750
17 O 0.591 0.969 0.837
18 O 0.138 0.276 0.539
19 O 0.409 0.031 0.163
20 O 0.919 0.931 0.206
21 O 0.275 0.417 0.646
22 O 0.494 0.638 0.250
23 O 0.068 0.411 0.897
24 O 0.081 0.069 0.794
25 O 0.159 0.977 0.104
26 O 0.862 0.724 0.461
27 O 0.221 0.781 0.250
28 O 0.932 0.589 0.103
29 O 0.659 0.023 0.396
30 O 0.581 0.931 0.706
31 O 0.994 0.362 0.250
32 O 0.568 0.589 0.603
33 Cs 0.210 0.832 0.440
34 Cs 0.290 0.832 0.940
35 Cs 0.790 0.168 0.560
36 Cs 0.710 0.168 0.060
37 Nb 0.057 0.660 0.168
38 Nb 0.943 0.340 0.832
39 Nb 0.557 0.340 0.332
40 Nb 0.443 0.660 0.668
41 P 0.716 0.813 0.892
42 P 0.119 0.872 0.742
43 P 0.216 0.187 0.608
44 P 0.284 0.187 0.108
45 P 0.381 0.872 0.242
46 P 0.881 0.128 0.258
47 P 0.619 0.128 0.758
48 P 0.784 0.813 0.392

Ac3Al4Si2 | GGA-PBE | optimized geometry

Output
Total magnetic moment ... 0.0 μB/f.u.
Density of states at the Fermi level ... 3.38 states/eV/cell
Formation energy without anion corrections ... -0.5280 eV per atom

Cell lengths 4.361, 6.420, 8.904 Å; angles 96.58, 90.00, 109.85 degrees
Element x y z (fractional)
1 Si 0.389 0.778 0.722
2 Si 0.611 0.222 0.278
3 Ac 0.333 0.666 0.335
4 Ac 0.000 0.000 0.000
5 Ac 0.667 0.334 0.665
6 Al 0.723 0.446 0.060
7 Al 0.946 0.892 0.616
8 Al 0.277 0.554 0.940
9 Al 0.054 0.108 0.384